Entry from Alexandria: a relaxed structure of PrNd5Ga6 (GGA-PBE).

The structure in CIF format:
```
data_PrNd5Ga6
_chemical_formula_sum 'Pr1 Nd5 Ga6'
_cell_length_a 5.2286
_cell_length_b 7.4061
_cell_length_c 9.0560
_cell_angle_alpha 65.92
_cell_angle_beta 73.41
_cell_angle_gamma 89.98
_symmetry_space_group_name_H-M 'P -1'
_symmetry_Int_Tables_number 2
loop_
_symmetry_equiv_pos_as_xyz
'x,y,z'
'-x,-y,-z'
loop_
_atom_site_label
_atom_site_type_symbol
_atom_site_fract_x
_atom_site_fract_y
_atom_site_fract_z
_atom_site_occupancy
Pr1 Pr 0.0000 0.0000 0.0000 1
Nd1 Nd 0.0000 0.5000 0.0000 1
Nd2 Nd 0.3327 0.3327 0.3346 1
Nd3 Nd 0.3344 0.8344 0.3312 1
Ga1 Ga 0.1674 0.4189 0.6652 1
Ga2 Ga 0.1673 0.9159 0.6653 1
Ga3 Ga 0.5000 0.2530 0.0000 1
```

**Formation energy from the elements**: -0.553 eV/atom
**Crystal system**: triclinic
**Size of the total moment**: 0.00 μB/cell

---

Entry from Alexandria: a relaxed structure of CePr2HfAs4 (GGA-PBE).

The structure in CIF format:
```
data_CePr2HfAs4
_chemical_formula_sum 'Ce1 Pr2 Hf1 As4'
_cell_length_a 7.1806
_cell_length_b 4.1479
_cell_length_c 7.2136
_cell_angle_alpha 90.00
_cell_angle_beta 109.19
_cell_angle_gamma 90.00
_symmetry_space_group_name_H-M 'P 1 2/m 1'
_symmetry_Int_Tables_number 10
loop_
_symmetry_equiv_pos_as_xyz
'x,y,z'
'-x,-y,-z'
'-x,y,-z'
'x,-y,z'
loop_
_atom_site_label
_atom_site_type_symbol
_atom_site_fract_x
_atom_site_fract_y
_atom_site_fract_z
_atom_site_occupancy
Ce1 Ce 0.0000 0.0000 0.0000 1
Pr1 Pr 0.0000 0.5000 0.5000 1
Pr2 Pr 0.5000 0.0000 0.5000 1
Hf1 Hf 0.5000 0.5000 0.0000 1
As1 As 0.2567 0.5000 0.2329 1
As2 As 0.2693 0.0000 0.7746 1
```

**Formation energy from the elements**: -1.337 eV/atom
**Crystal system**: monoclinic
**Size of the total moment**: 0.63 μB/cell

---

Entry from Alexandria: a relaxed structure of Ac2SmCuSe5 (GGA-PBE).

The structure in CIF format:
```
data_Ac2SmCuSe5
_chemical_formula_sum 'Ac8 Sm4 Cu4 Se20'
_cell_length_a 4.2422
_cell_length_b 17.8107
_cell_length_c 12.8674
_cell_angle_alpha 90.00
_cell_angle_beta 90.00
_cell_angle_gamma 90.00
_symmetry_space_group_name_H-M 'C m c 21'
_symmetry_Int_Tables_number 36
loop_
_symmetry_equiv_pos_as_xyz
'x,y,z'
'-x,-y,z+1/2'
'-x,y,z'
'x,-y,z+1/2'
'x+1/2,y+1/2,z'
'-x+1/2,-y+1/2,z+1/2'
'-x+1/2,y+1/2,z'
'x+1/2,-y+1/2,z+1/2'
loop_
_atom_site_label
_atom_site_type_symbol
_atom_site_fract_x
_atom_site_fract_y
_atom_site_fract_z
_atom_site_occupancy
Ac1 Ac 0.0000 0.1161 0.0000 1
Ac2 Ac 0.0000 0.1183 0.3514 1
Sm1 Sm 0.0000 0.1784 0.6793 1
Cu1 Cu 0.0000 0.4451 0.0808 1
Se1 Se 0.0000 0.0190 0.6693 1
Se2 Se 0.0000 0.3027 0.3386 1
Se3 Se 0.0000 0.3097 0.0194 1
Se4 Se 0.0000 0.3444 0.6749 1
Se5 Se 0.0000 0.4963 0.4091 1
```

**Energy relative to the elements, uncorrected**: -164.12 kJ/mol of atoms
**Crystal system**: orthorhombic
**Size of the total moment**: 0.00 μB/cell

---

Entry from Alexandria: a relaxed structure of Ce2BeSbRh6 (GGA-PBE).

The structure in CIF format:
```
data_Ce2BeSbRh6
_chemical_formula_sum 'Ce2 Be1 Sb1 Rh6'
_cell_length_a 5.8330
_cell_length_b 5.8414
_cell_length_c 7.1701
_cell_angle_alpha 67.40
_cell_angle_beta 67.10
_cell_angle_gamma 60.38
_symmetry_space_group_name_H-M 'P -1'
_symmetry_Int_Tables_number 2
loop_
_symmetry_equiv_pos_as_xyz
'x,y,z'
'-x,-y,-z'
loop_
_atom_site_label
_atom_site_type_symbol
_atom_site_fract_x
_atom_site_fract_y
_atom_site_fract_z
_atom_site_occupancy
Ce1 Ce 0.2408 0.2408 0.2696 1
Be1 Be 0.5000 0.5000 0.5000 1
Sb1 Sb 0.0000 0.0000 0.0000 1
Rh1 Rh 0.2040 0.7284 0.3240 1
Rh2 Rh 0.2656 0.2692 0.6900 1
Rh3 Rh 0.2694 0.8019 0.6719 1
```

**Energy relative to the elements, uncorrected**: -49.71 kJ/mol of atoms
**Crystal system**: triclinic
**Size of the total moment**: 0.00 μB/cell

---

Entry from Alexandria: a relaxed structure of CeTm2ThSc4 (GGA-PBE).

The structure in CIF format:
```
data_CeTm2ThSc4
_chemical_formula_sum 'Ce1 Tm2 Th1 Sc4'
_cell_length_a 5.4087
_cell_length_b 5.4087
_cell_length_c 7.5354
_cell_angle_alpha 90.00
_cell_angle_beta 90.00
_cell_angle_gamma 90.00
_symmetry_space_group_name_H-M 'P 4/m m m'
_symmetry_Int_Tables_number 123
_symmetry_space_group_name_Hall '-P 4 2'
loop_
_atom_site_label
_atom_site_type_symbol
_atom_site_fract_x
_atom_site_fract_y
_atom_site_fract_z
_atom_site_occupancy
Ce1 Ce 0.0000 0.0000 0.0000 1
Tm1 Tm 0.0000 0.0000 0.5000 1
Tm2 Tm 0.5000 0.5000 0.0000 1
Th1 Th 0.5000 0.5000 0.5000 1
Sc1 Sc 0.0000 0.5000 0.2470 1
```

**Formation energy from the elements**: 0.071 eV/atom
**Crystal system**: tetragonal
**Size of the total moment**: 0.50 μB/cell

---

Entry from Alexandria: a relaxed structure of CoRuW2 (GGA-PBE).

The structure in CIF format:
```
data_CoRuW2
_chemical_formula_sum 'Co3 Ru3 W6'
_cell_length_a 2.7409
_cell_length_b 2.7409
_cell_length_c 26.5216
_cell_angle_alpha 90.00
_cell_angle_beta 90.00
_cell_angle_gamma 120.00
_symmetry_space_group_name_H-M 'R -3 m'
_symmetry_Int_Tables_number 166
_symmetry_space_group_name_Hall '-R 3 2"'
loop_
_atom_site_label
_atom_site_type_symbol
_atom_site_fract_x
_atom_site_fract_y
_atom_site_fract_z
_atom_site_occupancy
Co1 Co 0.0000 0.0000 0.0000 1
Ru1 Ru 0.0000 0.0000 0.5000 1
W1 W 0.0000 0.0000 0.2531 1
```

**Formation energy from the elements**: 0.232 eV/atom
**Relative energy among the computed polymorphs**: 192 meV per atom
**Crystal system**: trigonal
**Size of the total moment**: 0.03 μB/cell

---

What did the third record say?
Entry from Alexandria: a relaxed structure of Ac2SmCuSe5 (GGA-PBE).

The structure in CIF format:
```
data_Ac2SmCuSe5
_chemical_formula_sum 'Ac8 Sm4 Cu4 Se20'
_cell_length_a 4.2422
_cell_length_b 17.8107
_cell_length_c 12.8674
_cell_angle_alpha 90.00
_cell_angle_beta 90.00
_cell_angle_gamma 90.00
_symmetry_space_group_name_H-M 'C m c 21'
_symmetry_Int_Tables_number 36
loop_
_symmetry_equiv_pos_as_xyz
'x,y,z'
'-x,-y,z+1/2'
'-x,y,z'
'x,-y,z+1/2'
'x+1/2,y+1/2,z'
'-x+1/2,-y+1/2,z+1/2'
'-x+1/2,y+1/2,z'
'x+1/2,-y+1/2,z+1/2'
loop_
_atom_site_label
_atom_site_type_symbol
_atom_site_fract_x
_atom_site_fract_y
_atom_site_fract_z
_atom_site_occupancy
Ac1 Ac 0.0000 0.1161 0.0000 1
Ac2 Ac 0.0000 0.1183 0.3514 1
Sm1 Sm 0.0000 0.1784 0.6793 1
Cu1 Cu 0.0000 0.4451 0.0808 1
Se1 Se 0.0000 0.0190 0.6693 1
Se2 Se 0.0000 0.3027 0.3386 1
Se3 Se 0.0000 0.3097 0.0194 1
Se4 Se 0.0000 0.3444 0.6749 1
Se5 Se 0.0000 0.4963 0.4091 1
```

**Energy relative to the elements, uncorrected**: -164.12 kJ/mol of atoms
**Crystal system**: orthorhombic
**Size of the total moment**: 0.00 μB/cell

---

Number 3 is which compound?
Ac2SmCuSe5

---

Look up the size of the total moment of the second one.
0.63 μB/cell